P) ## Ba3FeRu2O9 (GGA+U)

Data for an optimized crystal structure of Ba3FeRu2O9.

Computed properties:
Space-group type   P6_3mc

abc: 5.8028 5.8028 14.2186
angles: 90.00 90.00 120.00
Last column: magnetic moment on the atom in μB.
Element x y z (fractional)
O 0.8372 0.6743 0.4200  0.16
O 0.5146 0.0292 0.2467  0.14
O 0.1657 0.3315 0.5801  0.18
O 0.9708 0.4854 0.2467  0.14
O 0.8372 0.1628 0.4200  0.16
O 0.3257 0.1628 0.4200  0.16
O 0.8343 0.6685 0.0801  0.18
O 0.1628 0.8372 0.9200  0.16
O 0.1657 0.8343 0.5801  0.18
O 0.5146 0.4854 0.2467  0.14
O 0.4854 0.9708 0.7467  0.14
O 0.6685 0.8343 0.5801  0.18
O 0.8343 0.1657 0.0801  0.18
O 0.0292 0.5146 0.7467  0.14
O 0.6743 0.8372 0.9200  0.16
O 0.1628 0.3257 0.9200  0.16
O 0.4854 0.5146 0.7467  0.14
O 0.3315 0.1657 0.0801  0.18
Ba 0.6667 0.3333 0.5937  0.01
Ba 0.0000 0.0000 0.2521  0.01
Ba 0.3333 0.6667 0.0937  0.01
Ba 0.6667 0.3333 0.9057  0.00
Ba 0.3333 0.6667 0.4057  0.00
Ba 0.0000 0.0000 0.7521  0.01
Ru 0.6667 0.3333 0.1578  1.21
Ru 0.0000 0.0000 0.5012  1.22
Ru 0.0000 0.0000 0.0012  1.22
Ru 0.3333 0.6667 0.6578  1.21
Fe 0.3333 0.6667 0.8492  4.24
Fe 0.6667 0.3333 0.3492  4.24


Q) ## Ba3FeRu2O9 (GGA+U)

Data for an optimized crystal structure of Ba3FeRu2O9.

Computed properties:
Space-group type   P6_3/mmc

abc: 5.8105 5.8105 14.1456
angles: 90.00 90.00 120.00
Last column: magnetic moment on the atom in μB.
Element x y z (fractional)
O 0.8311 0.1689 0.4178  0.17
O 0.9824 0.4912 0.2500  0.11
O 0.4912 0.5088 0.7500  0.11
O 0.5088 0.0176 0.2500  0.11
O 0.1689 0.8311 0.5822  0.17
O 0.8311 0.6622 0.0822  0.17
O 0.6622 0.8311 0.5822  0.17
O 0.1689 0.8311 0.9178  0.17
O 0.3378 0.1689 0.4178  0.17
O 0.1689 0.3378 0.9178  0.17
O 0.3378 0.1689 0.0822  0.17
O 0.8311 0.1689 0.0822  0.17
O 0.1689 0.3378 0.5822  0.17
O 0.4912 0.9824 0.7500  0.11
O 0.8311 0.6622 0.4178  0.17
O 0.5088 0.4912 0.2500  0.11
O 0.6622 0.8311 0.9178  0.17
O 0.0176 0.5088 0.7500  0.11
Ba 0.6667 0.3333 0.9121  0.01
Ba 0.0000 0.0000 0.7500  0.01
Ba 0.6667 0.3333 0.5879  0.01
Ba 0.3333 0.6667 0.4121  0.01
Ba 0.0000 0.0000 0.2500  0.01
Ba 0.3333 0.6667 0.0879  0.01
Ru 0.3333 0.6667 0.6607  0.97
Ru 0.6667 0.3333 0.3393  0.97
Ru 0.3333 0.6667 0.8393  0.97
Ru 0.6667 0.3333 0.1607  0.97
Fe 0.0000 0.0000 0.5000  4.25
Fe 0.0000 0.0000 0.0000  4.25


It is Q) that is most stable; the runner-up trails by 0.013 eV/atom.


P) ## BaSr4Fe5O10 (GGA+U)

Data for an optimized crystal structure of BaSr4Fe5O10.

Computed properties:
Space-group type   P2/m

abc: 4.0773 5.4335 13.4246
angles: 93.71 90.00 90.00
Last column: magnetic moment on the atom in μB.
Element x y z (fractional)
Sr 0.5000 0.0905 0.7046  0.00
Sr 0.5000 0.3016 0.0974  0.00
Sr 0.5000 0.6984 0.9026  0.00
Sr 0.5000 0.9095 0.2954  0.00
O 0.5000 0.0000 0.5000  0.10
O 0.5000 0.4071 0.2921  0.10
O 0.5000 0.1984 0.9008  0.09
O 0.5000 0.5929 0.7079  0.10
O 0.5000 0.8016 0.0992  0.09
O 0.0000 0.1081 0.1950  0.10
O 0.0000 0.2781 0.6110  0.10
O 0.0000 0.5000 0.0000  0.09
O 0.0000 0.7219 0.3890  0.10
O 0.0000 0.8919 0.8050  0.10
Fe 0.0000 0.4126 0.2921  3.77
Fe 0.0000 0.8023 0.0986  3.77
Fe 0.0000 0.1977 0.9014  3.77
Fe 0.0000 0.0000 0.5000  3.77
Fe 0.0000 0.5874 0.7079  3.77
Ba 0.5000 0.5000 0.5000  -0.01


Q) ## BaSr4Fe5O10 (GGA+U)

Data for an optimized crystal structure of BaSr4Fe5O10.

Computed properties:
Space-group type   P4/mmm

abc: 4.0402 4.0402 17.7718
angles: 90.00 90.00 90.00
Last column: magnetic moment on the atom in μB.
Element x y z (fractional)
O 0.5000 0.0000 0.8893  0.10
O 0.5000 0.0000 0.1107  0.10
O 0.5000 0.0000 0.3047  -0.04
O 0.0000 0.5000 0.3047  -0.04
O 0.0000 0.5000 0.5000  -0.09
O 0.0000 0.5000 0.6953  -0.04
O 0.0000 0.5000 0.8893  0.10
O 0.0000 0.5000 0.1107  0.10
O 0.5000 0.0000 0.5000  -0.09
O 0.5000 0.0000 0.6953  -0.04
Fe 0.0000 0.0000 0.6973  1.98
Fe 0.0000 0.0000 0.5000  -3.74
Fe 0.0000 0.0000 0.8871  3.77
Fe 0.0000 0.0000 0.3027  1.98
Fe 0.0000 0.0000 0.1129  3.77
Sr 0.5000 0.5000 0.2087  0.00
Sr 0.5000 0.5000 0.4009  0.00
Sr 0.5000 0.5000 0.7913  0.00
Sr 0.5000 0.5000 0.5991  0.00
Ba 0.5000 0.5000 0.0000  -0.01


It is P) that is most stable; the runner-up trails by 0.168 eV/atom.